A relaxed structure of VW3O. Source: Alexandria, functional PBE with a Hubbard U.

Output
- magnetic moment (μB per cell) = 4.3
- space group = No. 221
- raw total energy (eV per atom) = -4.17
- relative energy among the computed polymorphs (eV/atom) = 1.7096

CIF file:
```
data_VW3O
_chemical_formula_sum 'V1 W3 O1'
_cell_length_a 4.7635
_cell_length_b 4.7635
_cell_length_c 4.7635
_cell_angle_alpha 90.00
_cell_angle_beta 90.00
_cell_angle_gamma 90.00
_symmetry_space_group_name_H-M 'P 1'
_symmetry_Int_Tables_number 1
_symmetry_space_group_name_Hall 'P 1'
loop_
_atom_site_label
_atom_site_type_symbol
_atom_site_fract_x
_atom_site_fract_y
_atom_site_fract_z
V1 V 0.0000 0.0000 0.0000
W1 W 0.0000 0.0000 0.5000
W2 W 0.0000 0.5000 0.0000
W3 W 0.5000 0.0000 0.0000
O1 O 0.5000 0.5000 0.5000
```